Entry from Alexandria via LeMat-Bulk: a relaxed KCuPbO3 crystal (PBE).

Cell lengths 6.7495, 6.7495, 8.9206 Å; angles 90.00, 90.00, 149.34 degrees
Sites, in units of the cell vectors:
K 0.1919 0.8081 0.7500
K 0.8081 0.1919 0.2500
Cu 0.0942 0.9058 0.2500
Cu 0.9058 0.0942 0.7500
Pb 0.5000 0.5000 0.0000
Pb 0.5000 0.5000 0.5000
O 0.1106 0.8894 0.0420
O 0.1106 0.8894 0.4580
O 0.4722 0.5278 0.2500
O 0.5278 0.4722 0.7500
O 0.8894 0.1106 0.5420
O 0.8894 0.1106 0.9580

**Raw formation energy**: -0.896 eV per atom

---

Entry from Alexandria via LeMat-Bulk: a relaxed K3Cu2PbO6 crystal (PBE).

Cell lengths 6.0558, 6.0558, 7.1770 Å; angles 90.00, 90.00, 120.00 degrees
Sites, in units of the cell vectors:
K 0.0000 0.0000 0.0000
K 0.3333 0.6667 0.7421
K 0.6667 0.3333 0.2579
Cu 0.3333 0.6667 0.3079
Cu 0.6667 0.3333 0.6921
Pb 0.0000 0.0000 0.5000
O 0.1612 0.3223 0.2952
O 0.1612 0.8388 0.2952
O 0.3223 0.1612 0.7048
O 0.6777 0.8388 0.2952
O 0.8388 0.1612 0.7048
O 0.8388 0.6777 0.7048

**Raw formation energy**: -0.922 eV per atom

---

Entry from Alexandria via LeMat-Bulk: a relaxed K2CuPbO4 crystal (PBE).

Cell lengths 5.6411, 5.6411, 5.6411 Å; angles 113.73, 113.73, 101.26 degrees
Sites, in units of the cell vectors:
K 0.0000 0.0000 0.0000
K 0.7500 0.2500 0.5000
Cu 0.5000 0.5000 0.0000
Pb 0.2500 0.7500 0.5000
O 0.2602 0.6731 0.1014
O 0.3269 0.4282 0.5871
O 0.5718 0.1589 0.8986
O 0.8411 0.7398 0.4129

**Raw formation energy**: -1.025 eV per atom

---

Entry from Alexandria via LeMat-Bulk: a relaxed K3CuPd2O6 crystal (PBE).

Cell lengths 5.7590, 5.7590, 6.0529 Å; angles 98.24, 98.24, 122.24 degrees
Sites, in units of the cell vectors:
K 0.0000 0.0000 0.0000
K 0.3386 0.6614 0.0000
K 0.6614 0.3386 0.0000
Cu 0.5000 0.5000 0.5000
Pd 0.1681 0.8319 0.5000
Pd 0.8319 0.1681 0.5000
O 0.0925 0.4411 0.3230
O 0.2243 0.2243 0.6579
O 0.4411 0.0925 0.3230
O 0.5589 0.9075 0.6770
O 0.7757 0.7757 0.3421
O 0.9075 0.5589 0.6770

**Raw formation energy**: -0.795 eV per atom